(1)
## Eu4B4O11F2 (PBE-GGA)

Data for Eu4B4O11F2 after structural relaxation.

Calculated values
E_tot (eV per cell): -368.15
Formation energy without anion corrections (eV/atom): -2.761
Magnetization (μB/cell): 48.0

Cell: 7.413 7.413 13.889 Å, 89.61 89.61 37.39°
Each line ends with the local moment (μB).
Element x y z (fractional)
O: 0.047 0.775 0.607  -0.03
O: 0.945 0.828 0.437  -0.09
O: 0.055 0.172 0.563  -0.09
Eu: 0.713 0.731 0.873  6.34
B: 0.136 0.053 0.473  0.01
F: 0.248 0.292 0.927  -0.02
O: 0.172 0.055 0.063  -0.09
O: 0.362 0.841 0.273  -0.21
O: 0.402 0.751 0.462  -0.13
Eu: 0.576 0.549 0.128  6.32
B: 0.864 0.947 0.527  0.01
O: 0.598 0.249 0.538  -0.13
O: 0.828 0.945 0.937  -0.09
B: 0.129 0.054 0.787  0.01
O: 0.161 0.839 0.750  -0.09
O: 0.023 0.637 0.758  -0.19
B: 0.054 0.129 0.287  0.01
O: 0.977 0.363 0.242  -0.19
O: 0.953 0.225 0.393  -0.03
O: 0.249 0.598 0.038  -0.13
Eu: 0.269 0.287 0.627  6.34
Eu: 0.451 0.424 0.372  6.32
B: 0.871 0.946 0.213  0.01
Eu: 0.549 0.576 0.628  6.32
O: 0.751 0.402 0.962  -0.13
F: 0.292 0.248 0.427  -0.02
O: 0.841 0.362 0.773  -0.21
F: 0.708 0.752 0.573  -0.02
O: 0.225 0.953 0.893  -0.03
B: 0.947 0.864 0.027  0.01
O: 0.775 0.047 0.107  -0.03
Eu: 0.731 0.713 0.373  6.34
Eu: 0.287 0.269 0.127  6.34
O: 0.839 0.161 0.250  -0.09
O: 0.159 0.638 0.227  -0.21
O: 0.637 0.023 0.258  -0.19
O: 0.363 0.977 0.742  -0.19
O: 0.638 0.159 0.727  -0.21
B: 0.946 0.871 0.713  0.01
F: 0.752 0.708 0.073  -0.02
Eu: 0.424 0.451 0.872  6.32
B: 0.053 0.136 0.973  0.01


(2)
## EuFeB2 (PBE-GGA)

Data for EuFeB2 after structural relaxation.

Calculated values
E_tot (eV per cell): -32.28
Energy of formation from the pure elements (meV per atom): -46
Magnetization (μB/cell): 6.9

Cell: 3.476 3.476 5.348 Å, 71.04 71.04 60.00°
Each line ends with the local moment (μB).
Element x y z (fractional)
Fe: 0.000 0.000 0.000  -0.28
Eu: 0.500 0.500 0.500  6.83
B: 0.686 0.686 0.943  0.00
B: 0.314 0.314 0.057  0.00


(3)
## EuHo3B (PBE-GGA)

Data for EuHo3B after structural relaxation.

Calculated values
E_tot (eV per cell): -30.40
Energy of formation from the pure elements (meV per atom): 57
Magnetization (μB/cell): 7.5

Cell: 5.199 5.199 5.199 Å, 90.00 90.00 90.00°
Each line ends with the local moment (μB).
Element x y z (fractional)
Ho: 0.500 0.000 0.000  -0.07
B: 0.000 0.000 0.000  0.01
Ho: 0.000 0.500 0.000  -0.07
Eu: 0.500 0.500 0.500  -6.88
Ho: 0.000 0.000 0.500  -0.07